## a
{
  "formula": "Nb2OsN",
  "functional": "PBE-GGA",
  "state": "relaxed",
  "m_tot_mub_per_fu": 0.000,
  "lattice": [[-0.391, -1.299, -5.971], [6.048, -0.935, -0.192], [2.354, -4.334, -2.350]],
  "species": ["Nb", "Nb", "Nb", "Nb", "Os", "Os", "N", "N"],
  "frac_coords": [[0.196, 0.625, 0.250], [0.375, 0.446, 0.750], [0.875, 0.804, 0.750], [0.554, 0.125, 0.250], [0.000, 0.000, 0.000], [0.750, 0.250, 0.500], [0.250, 0.750, 0.500], [0.500, 0.500, 0.000]]
}

## b
{
  "formula": "Nb2OsN",
  "functional": "PBE-GGA",
  "state": "relaxed",
  "m_tot_mub_per_fu": 0.000,
  "lattice": [[-2.801, 0.030, -1.255], [-1.886, -2.389, 0.399], [-4.077, 2.150, 5.399]],
  "species": ["N", "Os", "Nb", "Nb"],
  "frac_coords": [[0.000, 0.000, 0.000], [0.500, 0.500, 0.500], [0.273, 0.273, 0.182], [0.727, 0.727, 0.818]]
}

## c
{
  "formula": "Nb2OsN",
  "functional": "PBE-GGA",
  "state": "relaxed",
  "m_tot_mub_per_fu": 0.000,
  "lattice": [[2.242, -3.635, 0.862], [-1.304, -2.657, 3.198], [-1.707, -3.892, -0.961]],
  "species": ["Nb", "Nb", "Os", "N"],
  "frac_coords": [[0.750, 0.750, 0.750], [0.250, 0.250, 0.250], [0.500, 0.500, 0.500], [0.000, 0.000, 0.000]]
}

Stability order, top to bottom: b, a, c